{"formula": "K2LiY", "functional": "SCAN", "state": "single point on PBEsol structure", "vol_a3_per_cell": 671.10, "e_form_ev_per_atom": 0.63, "space_group": "No. 122", "lattice": [[9.769, 0.000, 0.000], [0.000, 9.769, 0.000], [0.000, 0.000, 7.032]], "species": ["K", "K", "K", "K", "K", "K", "K", "K", "Li", "Li", "Li", "Li", "Y", "Y", "Y", "Y"], "frac_coords": [[0.208, 0.250, 0.125], [0.250, 0.708, 0.375], [0.250, 0.792, 0.875], [0.292, 0.250, 0.625], [0.708, 0.750, 0.625], [0.750, 0.208, 0.875], [0.750, 0.292, 0.375], [0.792, 0.750, 0.125], [0.000, 0.000, 0.000], [0.000, 0.500, 0.250], [0.500, 0.000, 0.750], [0.500, 0.500, 0.500], [0.000, 0.000, 0.500], [0.000, 0.500, 0.750], [0.500, 0.000, 0.250], [0.500, 0.500, 0.000]]}